Entry 1:
Compound: TaMnNi2
Source: the Alexandria database
Functional: SCAN
Structure: PBEsol geometry

Space-group type: No. 139
Uncorrected energy (eV/atom): -29.569
ΔH_f (0 K) (meV/atom): -272

```
data_TaMnNi2
_chemical_formula_sum 'Ta1 Mn1 Ni2'
_space_group_name_H-M_alt 'P 1'
_space_group_IT_number 1
_space_group_name_Hall 'P 1'
_cell_length_a 3.6067
_cell_length_b 3.6067
_cell_length_c 4.5332
_cell_angle_alpha 113.44
_cell_angle_beta 113.44
_cell_angle_gamma 90.00
loop_
_atom_site_label
_atom_site_type_symbol
_atom_site_fract_x
_atom_site_fract_y
_atom_site_fract_z
Ni1 Ni 0.7500 0.2500 0.5000
Ni2 Ni 0.2500 0.7500 0.5000
Ta1 Ta 0.5000 0.5000 0.0000
Mn1 Mn 0.0000 0.0000 0.0000
```

***

Entry 2:
Compound: TaMnNi2
Source: the Alexandria database
Functional: SCAN
Structure: PBEsol geometry

Space-group type: No. 6
Uncorrected energy (eV/atom): -29.280
ΔH_f (0 K) (meV/atom): 17

```
data_TaMnNi2
_chemical_formula_sum 'Ta1 Mn1 Ni2'
_space_group_name_H-M_alt 'P 1'
_space_group_IT_number 1
_space_group_name_Hall 'P 1'
_cell_length_a 2.5897
_cell_length_b 4.0950
_cell_length_c 4.5801
_cell_angle_alpha 90.00
_cell_angle_beta 93.98
_cell_angle_gamma 90.00
loop_
_atom_site_label
_atom_site_type_symbol
_atom_site_fract_x
_atom_site_fract_y
_atom_site_fract_z
Mn1 Mn 0.3057 0.5000 0.8072
Ni1 Ni 0.8830 0.0000 0.9641
Ni2 Ni 0.8794 0.5000 0.2608
Ta1 Ta 0.4319 0.0000 0.4678
```

***

Entry 3:
Compound: TaMnNi2
Source: the Alexandria database
Functional: SCAN
Structure: PBEsol geometry

Space-group type: No. 123
Uncorrected energy (eV/atom): -29.569
ΔH_f (0 K) (meV/atom): -272

```
data_TaMnNi2
_chemical_formula_sum 'Ta1 Mn1 Ni2'
_space_group_name_H-M_alt 'P 1'
_space_group_IT_number 1
_space_group_name_Hall 'P 1'
_cell_length_a 3.6010
_cell_length_b 3.6010
_cell_length_c 3.7379
_cell_angle_alpha 90.00
_cell_angle_beta 90.00
_cell_angle_gamma 90.00
loop_
_atom_site_label
_atom_site_type_symbol
_atom_site_fract_x
_atom_site_fract_y
_atom_site_fract_z
Mn1 Mn 0.0000 0.0000 0.5000
Ta1 Ta 0.5000 0.5000 0.5000
Ni1 Ni 0.5000 0.0000 0.0000
Ni2 Ni 0.0000 0.5000 0.0000
```

***

Entry 4:
Compound: TaMnNi3
Source: the Alexandria database
Functional: SCAN
Structure: PBEsol geometry

Space-group type: No. 221
Uncorrected energy (eV/atom): -25.571
ΔH_f (0 K) (meV/atom): 1100

```
data_TaMnNi3
_chemical_formula_sum 'Ta1 Mn1 Ni3'
_space_group_name_H-M_alt 'P 1'
_space_group_IT_number 1
_space_group_name_Hall 'P 1'
_cell_length_a 4.1175
_cell_length_b 4.1175
_cell_length_c 4.1175
_cell_angle_alpha 90.00
_cell_angle_beta 90.00
_cell_angle_gamma 90.00
loop_
_atom_site_label
_atom_site_type_symbol
_atom_site_fract_x
_atom_site_fract_y
_atom_site_fract_z
Ni1 Ni 0.0000 0.5000 0.0000
Ni2 Ni 0.0000 0.0000 0.5000
Mn1 Mn 0.0000 0.0000 0.0000
Ni3 Ni 0.5000 0.0000 0.0000
Ta1 Ta 0.5000 0.5000 0.5000
```

***

Entry 5:
Compound: TaMnNi
Source: the Alexandria database
Functional: SCAN
Structure: PBEsol geometry

Space-group type: No. 107
Uncorrected energy (eV/atom): -33.829
ΔH_f (0 K) (meV/atom): -158

```
data_TaMnNi
_chemical_formula_sum 'Ta1 Mn1 Ni1'
_space_group_name_H-M_alt 'P 1'
_space_group_IT_number 1
_space_group_name_Hall 'P 1'
_cell_length_a 2.8351
_cell_length_b 2.8351
_cell_length_c 5.3903
_cell_angle_alpha 105.25
_cell_angle_beta 105.25
_cell_angle_gamma 90.00
loop_
_atom_site_label
_atom_site_type_symbol
_atom_site_fract_x
_atom_site_fract_y
_atom_site_fract_z
Ta1 Ta 0.3314 0.3314 0.6627
Mn1 Mn 0.0152 0.0152 0.0303
Ni1 Ni 0.6535 0.6535 0.3070
```

***

Entry 6:
Compound: TaTiMnNi2
Source: the Alexandria database
Functional: SCAN
Structure: PBEsol geometry

Space-group type: No. 123
Uncorrected energy (eV/atom): -25.542
ΔH_f (0 K) (meV/atom): 1101

```
data_TaTiMnNi2
_chemical_formula_sum 'Ta1 Ti1 Mn1 Ni2'
_space_group_name_H-M_alt 'P 1'
_space_group_IT_number 1
_space_group_name_Hall 'P 1'
_cell_length_a 4.4263
_cell_length_b 4.4329
_cell_length_c 4.4329
_cell_angle_alpha 90.00
_cell_angle_beta 90.00
_cell_angle_gamma 90.00
loop_
_atom_site_label
_atom_site_type_symbol
_atom_site_fract_x
_atom_site_fract_y
_atom_site_fract_z
Ni1 Ni 0.0000 0.5000 0.0000
Mn1 Mn 0.5000 0.0000 0.0000
Ni2 Ni 0.0000 0.0000 0.5000
Ti1 Ti 0.5000 0.5000 0.5000
Ta1 Ta 0.0000 0.0000 0.0000
```

***

Entry 7:
Compound: Mn2TcNi
Source: the Alexandria database
Functional: SCAN
Structure: PBEsol geometry

Space-group type: No. 99
Uncorrected energy (eV/atom): -21.944
ΔH_f (0 K) (meV/atom): -8

```
data_Mn2TcNi
_chemical_formula_sum 'Mn2 Tc1 Ni1'
_space_group_name_H-M_alt 'P 1'
_space_group_IT_number 1
_space_group_name_Hall 'P 1'
_cell_length_a 2.5108
_cell_length_b 2.5108
_cell_length_c 7.1854
_cell_angle_alpha 90.00
_cell_angle_beta 90.00
_cell_angle_gamma 90.00
loop_
_atom_site_label
_atom_site_type_symbol
_atom_site_fract_x
_atom_site_fract_y
_atom_site_fract_z
Tc1 Tc 0.5000 0.5000 0.7517
Mn1 Mn 0.0000 0.0000 0.0208
Ni1 Ni 0.0000 0.0000 0.4861
Mn2 Mn 0.5000 0.5000 0.2414
```

***

Entry 8:
Compound: MnTcNi2
Source: the Alexandria database
Functional: SCAN
Structure: PBEsol geometry

Space-group type: No. 216
Uncorrected energy (eV/atom): -21.371
ΔH_f (0 K) (meV/atom): 45
Energy above the lowest structure with this stoichiometry (eV per atom): 0.000

```
data_MnTcNi2
_chemical_formula_sum 'Mn1 Tc1 Ni2'
_space_group_name_H-M_alt 'P 1'
_space_group_IT_number 1
_space_group_name_Hall 'P 1'
_cell_length_a 4.0247
_cell_length_b 4.0247
_cell_length_c 4.0247
_cell_angle_alpha 60.00
_cell_angle_beta 60.00
_cell_angle_gamma 60.00
loop_
_atom_site_label
_atom_site_type_symbol
_atom_site_fract_x
_atom_site_fract_y
_atom_site_fract_z
Mn1 Mn 0.5000 0.5000 0.5000
Tc1 Tc 0.2500 0.2500 0.2500
Ni1 Ni 0.7500 0.7500 0.7500
Ni2 Ni 0.0000 0.0000 0.0000
```

***

Entry 9:
Compound: MnTcNi2
Source: the Alexandria database
Functional: SCAN
Structure: PBEsol geometry

Space-group type: No. 166
Uncorrected energy (eV/atom): -21.349
ΔH_f (0 K) (meV/atom): 66
Energy above the lowest structure with this stoichiometry (eV per atom): 0.022

```
data_MnTcNi2
_chemical_formula_sum 'Mn1 Tc1 Ni2'
_space_group_name_H-M_alt 'P 1'
_space_group_IT_number 1
_space_group_name_Hall 'P 1'
_cell_length_a 2.5401
_cell_length_b 2.5401
_cell_length_c 8.3988
_cell_angle_alpha 81.30
_cell_angle_beta 81.30
_cell_angle_gamma 60.00
loop_
_atom_site_label
_atom_site_type_symbol
_atom_site_fract_x
_atom_site_fract_y
_atom_site_fract_z
Ni1 Ni 0.2526 0.2526 0.2422
Tc1 Tc 0.5000 0.5000 0.5000
Ni2 Ni 0.7474 0.7474 0.7578
Mn1 Mn 0.0000 0.0000 0.0000
```

***

Entry 10:
Compound: MnTcNi2
Source: the Alexandria database
Functional: SCAN
Structure: PBEsol geometry

Space-group type: No. 225
Uncorrected energy (eV/atom): -21.360
ΔH_f (0 K) (meV/atom): 55
Energy above the lowest structure with this stoichiometry (eV per atom): 0.010

```
data_MnTcNi2
_chemical_formula_sum 'Mn1 Tc1 Ni2'
_space_group_name_H-M_alt 'P 1'
_space_group_IT_number 1
_space_group_name_Hall 'P 1'
_cell_length_a 4.0632
_cell_length_b 4.0632
_cell_length_c 4.0632
_cell_angle_alpha 60.00
_cell_angle_beta 60.00
_cell_angle_gamma 60.00
loop_
_atom_site_label
_atom_site_type_symbol
_atom_site_fract_x
_atom_site_fract_y
_atom_site_fract_z
Mn1 Mn 0.0000 0.0000 0.0000
Ni1 Ni 0.7500 0.7500 0.7500
Tc1 Tc 0.5000 0.5000 0.5000
Ni2 Ni 0.2500 0.2500 0.2500
```

***

Entry 11:
Compound: Mn2TcNi
Source: the Alexandria database
Functional: SCAN
Structure: PBEsol geometry

Space-group type: No. 139
Uncorrected energy (eV/atom): -21.959
ΔH_f (0 K) (meV/atom): -23

```
data_Mn2TcNi
_chemical_formula_sum 'Mn2 Tc1 Ni1'
_space_group_name_H-M_alt 'P 1'
_space_group_IT_number 1
_space_group_name_Hall 'P 1'
_cell_length_a 3.6056
_cell_length_b 3.6056
_cell_length_c 4.3221
_cell_angle_alpha 114.65
_cell_angle_beta 114.65
_cell_angle_gamma 90.00
loop_
_atom_site_label
_atom_site_type_symbol
_atom_site_fract_x
_atom_site_fract_y
_atom_site_fract_z
Tc1 Tc 0.5000 0.5000 0.0000
Mn1 Mn 0.7500 0.2500 0.5000
Mn2 Mn 0.2500 0.7500 0.5000
Ni1 Ni 0.0000 0.0000 0.0000
```

***

Entry 12:
Compound: MnTcNi2
Source: the Alexandria database
Functional: SCAN
Structure: PBEsol geometry

Space-group type: No. 123
Uncorrected energy (eV/atom): -21.365
ΔH_f (0 K) (meV/atom): 50
Energy above the lowest structure with this stoichiometry (eV per atom): 0.005

```
data_MnTcNi2
_chemical_formula_sum 'Mn1 Tc1 Ni2'
_space_group_name_H-M_alt 'P 1'
_space_group_IT_number 1
_space_group_name_Hall 'P 1'
_cell_length_a 3.0580
_cell_length_b 3.0580
_cell_length_c 5.0347
_cell_angle_alpha 90.00
_cell_angle_beta 90.00
_cell_angle_gamma 90.00
loop_
_atom_site_label
_atom_site_type_symbol
_atom_site_fract_x
_atom_site_fract_y
_atom_site_fract_z
Ni1 Ni 0.0000 0.0000 0.2550
Ni2 Ni 0.0000 0.0000 0.7450
Mn1 Mn 0.5000 0.5000 0.5000
Tc1 Tc 0.5000 0.5000 0.0000
```

***

Entry 13:
Compound: Mn2NiTe
Source: the Alexandria database
Functional: SCAN
Structure: PBEsol geometry

Space-group type: No. 160
Uncorrected formation energy (eV/atom): 0.1302
Uncorrected energy (eV/atom): -22.353

```
data_Mn2NiTe
_chemical_formula_sum 'Mn2 Ni1 Te1'
_space_group_name_H-M_alt 'P 1'
_space_group_IT_number 1
_space_group_name_Hall 'P 1'
_cell_length_a 3.8828
_cell_length_b 3.8828
_cell_length_c 4.8634
_cell_angle_alpha 66.47
_cell_angle_beta 66.47
_cell_angle_gamma 60.00
loop_
_atom_site_label
_atom_site_type_symbol
_atom_site_fract_x
_atom_site_fract_y
_atom_site_fract_z
Mn1 Mn 0.6947 0.6947 0.9160
Ni1 Ni 0.4869 0.4869 0.5394
Mn2 Mn 0.0614 0.0614 0.8157
Te1 Te 0.2570 0.2570 0.2289
```

***

Entry 14:
Compound: TiMn2Ni2
Source: the Alexandria database
Functional: SCAN
Structure: PBEsol geometry

Space-group type: No. 139
Uncorrected energy (eV/atom): -16.875
ΔH_f (0 K) (meV/atom): 102

```
data_TiMn2Ni2
_chemical_formula_sum 'Ti1 Mn2 Ni2'
_space_group_name_H-M_alt 'P 1'
_space_group_IT_number 1
_space_group_name_Hall 'P 1'
_cell_length_a 3.1794
_cell_length_b 3.1794
_cell_length_c 6.3179
_cell_angle_alpha 104.57
_cell_angle_beta 104.57
_cell_angle_gamma 90.00
loop_
_atom_site_label
_atom_site_type_symbol
_atom_site_fract_x
_atom_site_fract_y
_atom_site_fract_z
Mn1 Mn 0.7500 0.2500 0.5000
Ti1 Ti 0.0000 0.0000 0.0000
Mn2 Mn 0.2500 0.7500 0.5000
Ni1 Ni 0.5968 0.5968 0.1936
Ni2 Ni 0.4032 0.4032 0.8064
```